Record 1
Mn4C: relaxed, PBE.

POSCAR file:
```
Mn4C
1.0
-1.4549 1.4549 6.4045
1.4549 -1.4549 6.4045
1.4549 1.4549 -6.4045
Mn C
4 1
Direct
0.0863 0.0863 0.0000 Mn
0.2500 0.7500 0.5000 Mn
0.7500 0.2500 0.5000 Mn
0.9137 0.9137 0.0000 Mn
0.5000 0.5000 0.0000 C
```

## Properties
As for the excess energy over the best structure of this formula in the dataset: 941.3 meV per atom. Its space group is No. 139.

=====

Record 2
SmY2Th3: relaxed, PBE.

POSCAR file:
```
SmY2Th3
1.0
7.6076 -2.5349 0.0000
7.6076 2.5349 0.0000
-5.0761 0.0000 10.1534
Sm Y Th
2 4 6
Direct
0.1273 0.1273 0.1314 Sm
0.8727 0.8727 0.8686 Sm
0.2060 0.2060 0.8689 Y
0.4599 0.4599 0.1310 Y
0.5401 0.5401 0.8690 Y
0.7940 0.7940 0.1311 Y
0.0430 0.0430 0.3787 Th
0.2906 0.2906 0.6216 Th
0.3764 0.3764 0.3789 Th
0.6236 0.6236 0.6211 Th
0.7094 0.7094 0.3784 Th
0.9570 0.9570 0.6213 Th
```

## Properties
Its space group is No. 12.

=====

Record 3
CrCuTc2N: relaxed, PBE.

POSCAR file:
```
CrCuTc2N
1.0
4.0053 0.0000 0.0000
0.0000 4.0053 0.0000
0.0000 0.0000 3.8079
Cr Cu Tc N
1 1 2 1
Direct
0.0000 0.0000 0.0000 Cr
0.5000 0.5000 0.0000 Cu
0.0000 0.5000 0.5000 Tc
0.5000 0.0000 0.5000 Tc
0.0000 0.0000 0.5000 N
```

## Properties
Its space group is No. 123. The calculation puts the formation energy without anion corrections at 59.7 meV/atom.

=====

Record 4
CeHfZr: relaxed, PBE.

POSCAR file:
```
CeHfZr
1.0
2.8194 -1.6288 0.0000
2.8194 1.6288 0.0000
-0.0013 0.0000 15.7131
Ce Hf Zr
2 2 2
Direct
0.1672 0.1672 0.4149 Ce
0.8328 0.8328 0.5851 Ce
0.1667 0.1667 0.0795 Hf
0.8333 0.8333 0.9205 Hf
0.5004 0.5004 0.2422 Zr
0.4996 0.4996 0.7578 Zr
```

## Properties
As for the excess energy over the best structure of this formula in the dataset: 0.0 meV per atom. Its space group is No. 12.

=====

Record 5
Cr2CuOs: relaxed, PBE.

POSCAR file:
```
Cr2CuOs
1.0
1.4531 -2.1032 0.0000
1.4531 2.1032 0.0000
0.0000 0.0000 8.4166
Cr Cu Os
2 1 1
Direct
0.0000 0.0000 0.2495 Cr
0.0000 0.0000 0.7505 Cr
0.5000 0.5000 0.0000 Cu
0.5000 0.5000 0.5000 Os
```

## Properties
Its space group is No. 65.

=====

Record 6
ScGaCu2Cl: relaxed, PBE.

POSCAR file:
```
ScGaCu2Cl
1.0
4.3986 0.0000 0.0000
0.0000 4.3986 0.0000
0.0000 0.0000 5.3261
Sc Ga Cu Cl
1 1 2 1
Direct
0.0000 0.0000 0.0000 Sc
0.5000 0.5000 0.0000 Ga
0.0000 0.5000 0.5000 Cu
0.5000 0.0000 0.5000 Cu
0.5000 0.5000 0.5000 Cl
```

## Properties
Its space group is No. 123. The calculation puts the formation energy without anion corrections at 460.3 meV/atom.

=====

no.,calculated total energy (Ha/atom)
1,-0.3028
2,-0.2433
3,-0.3122
4,-0.2969
5,-0.3032
6,-0.1257